Co2PtRhN | PBE | optimized geometry

The size of the total moment is 4.014 μB/f.u. As for the raw total energy: -7.083 eV/atom.

It has space group P4/mmm (No. 123), with a = 3.8437 Å, b = 3.8437 Å, c = 4.0394 Å, α = 90.00°, β = 90.00° and γ = 90.00°. The inequivalent atoms are Co at (0.0000, 0.5000, 0.0000), Pt at (0.0000, 0.0000, 0.5000), Rh at (0.5000, 0.5000, 0.5000) and N at (0.5000, 0.5000, 0.0000).

---

CoPtRh2N | PBE | optimized geometry

The size of the total moment is 2.424 μB/f.u. As for the raw total energy: -7.035 eV/atom.

It has space group P4/mmm (No. 123), with a = 4.0953 Å, b = 4.0953 Å, c = 3.7911 Å, α = 90.00°, β = 90.00° and γ = 90.00°. The inequivalent atoms are Co at (0.0000, 0.0000, 0.0000), Pt at (0.5000, 0.5000, 0.0000), Rh at (0.0000, 0.5000, 0.5000) and N at (0.0000, 0.0000, 0.5000).

---

CoRu2PtN | PBE | optimized geometry

The size of the total moment is 1.986 μB/f.u. As for the raw total energy: -7.818 eV/atom.

It has space group P4/mmm (No. 123), with a = 4.0117 Å, b = 4.0117 Å, c = 3.8747 Å, α = 90.00°, β = 90.00° and γ = 90.00°. The inequivalent atoms are Co at (0.0000, 0.0000, 0.0000), Ru at (0.0000, 0.5000, 0.5000), Pt at (0.5000, 0.5000, 0.0000) and N at (0.0000, 0.0000, 0.5000).

---

Co2RuPtN | PBE | optimized geometry

The size of the total moment is 3.927 μB/f.u. As for the raw total energy: -7.464 eV/atom.

It has space group P4/mmm (No. 123), with a = 3.8779 Å, b = 3.8779 Å, c = 3.9426 Å, α = 90.00°, β = 90.00° and γ = 90.00°. The inequivalent atoms are Co at (0.0000, 0.5000, 0.0000), Ru at (0.0000, 0.0000, 0.5000), Pt at (0.5000, 0.5000, 0.5000) and N at (0.0000, 0.0000, 0.0000).

---

CoRuPt2N | PBE | optimized geometry

The size of the total moment is 6.678 μB/f.u. As for the raw total energy: -5.120 eV/atom. The calculation puts the polymorph energy (0 for the lowest one) at 1674 meV per atom.

It has space group P4/mmm (No. 123), with a = 4.5672 Å, b = 4.5672 Å, c = 4.4943 Å, α = 90.00°, β = 90.00° and γ = 90.00°. The inequivalent atoms are Co at (0.0000, 0.0000, 0.0000), Ru at (0.0000, 0.0000, 0.5000), Pt at (0.0000, 0.5000, 0.0000) and N at (0.5000, 0.5000, 0.5000).

---

CoRuPt2N | PBE | optimized geometry

The size of the total moment is 2.641 μB/f.u. As for the raw total energy: -6.793 eV/atom. The calculation puts the polymorph energy (0 for the lowest one) at 0 meV per atom.

It has space group P4/mmm (No. 123), with a = 4.2222 Å, b = 4.2222 Å, c = 3.8653 Å, α = 90.00°, β = 90.00° and γ = 90.00°. The inequivalent atoms are Co at (0.0000, 0.0000, 0.0000), Ru at (0.5000, 0.5000, 0.0000), Pt at (0.0000, 0.5000, 0.5000) and N at (0.5000, 0.5000, 0.5000).

---

CoRuPtN2 | PBE | optimized geometry

The size of the total moment is 1.817 μB/f.u. As for the raw total energy: -6.319 eV/atom.

It has space group P4/mmm (No. 123), with a = 3.5571 Å, b = 3.5571 Å, c = 5.2630 Å, α = 90.00°, β = 90.00° and γ = 90.00°. The inequivalent atoms are Co at (0.0000, 0.0000, 0.0000), Ru at (0.0000, 0.0000, 0.5000), Pt at (0.5000, 0.5000, 0.5000) and N at (0.0000, 0.5000, 0.0000).

---

CoPtS2N | PBE | optimized geometry

The size of the total moment is 2.864 μB/f.u. As for the raw total energy: -4.925 eV/atom. The calculation puts the polymorph energy (0 for the lowest one) at 377 meV per atom.

It has space group P4/mmm (No. 123), with a = 4.9368 Å, b = 4.9368 Å, c = 3.6444 Å, α = 90.00°, β = 90.00° and γ = 90.00°. The inequivalent atoms are Co at (0.0000, 0.0000, 0.0000), Pt at (0.5000, 0.5000, 0.5000), S at (0.0000, 0.5000, 0.5000) and N at (0.5000, 0.5000, 0.0000).